No. 1
An optimized crystal structure of NiMo2Pd. Source: Alexandria, functional PBE-GGA.

Its total DFT energy (no corrections) is -7.644 eV per atom. As for the formation energy: 0.51 eV/atom.

It has space group I-42d (No. 122), with a = 7.009 Å, b = 7.009 Å, c = 5.057 Å, α = 90.00°, β = 90.00° and γ = 90.00°. The asymmetric unit holds Ni at (0.000, 0.000, 0.000), Mo at (0.213, 0.250, 0.125) and Pd at (0.000, 0.000, 0.500).

***

No. 2
An optimized crystal structure of NiMoPd3. Source: Alexandria, functional PBE-GGA.

Its total DFT energy (no corrections) is -5.018 eV per atom. As for the formation energy: 1.42 eV/atom.

It has space group Pm-3m (No. 221), with a = 4.746 Å, b = 4.746 Å, c = 4.746 Å, α = 90.00°, β = 90.00° and γ = 90.00°. The asymmetric unit holds Ni at (0.000, 0.000, 0.000), Mo at (0.500, 0.500, 0.500) and Pd at (0.000, 0.500, 0.500).

***

No. 3
An optimized crystal structure of Ni4MoPd3. Source: Alexandria, functional PBE-GGA.

Its total DFT energy (no corrections) is -6.193 eV per atom. As for the formation energy: 0.00 eV/atom.

It has space group I4/mmm (No. 139), with a = 3.842 Å, b = 3.842 Å, c = 14.294 Å, α = 90.00°, β = 90.00° and γ = 90.00°. The asymmetric unit holds Ni at (0.000, 0.500, 0.121), Mo at (0.000, 0.000, 0.000), Pd at (0.000, 0.000, 0.252) and Pd at (0.000, 0.000, 0.500).

***

No. 4
An optimized crystal structure of Ni8Mo2Pd. Source: Alexandria, functional PBE-GGA.

Its total DFT energy (no corrections) is -6.652 eV per atom. As for the formation energy: -0.01 eV/atom.

It has space group C2/m (No. 12), with a = 13.260 Å, b = 3.594 Å, c = 5.831 Å, α = 90.00°, β = 105.48° and γ = 90.00°. The asymmetric unit holds Ni at (0.045, 0.000, 0.220), Ni at (0.089, 0.500, 0.955), Ni at (0.140, 0.000, 0.683), Ni at (0.181, 0.500, 0.409), Mo at (0.224, 0.000, 0.146) and Pd at (0.000, 0.500, 0.500).

***

No. 5
An optimized crystal structure of Ni5MoPd8. Source: Alexandria, functional PBE-GGA.

Its total DFT energy (no corrections) is -5.572 eV per atom. As for the formation energy: 0.23 eV/atom.

It has space group I-4 (No. 82), with a = 7.353 Å, b = 7.353 Å, c = 7.580 Å, α = 90.00°, β = 90.00° and γ = 90.00°. The asymmetric unit holds Ni at (0.000, 0.000, 0.000), Ni at (0.111, 0.801, 0.420), Mo at (0.000, 0.500, 0.750), Pd at (0.067, 0.668, 0.082) and Pd at (0.102, 0.820, 0.749).

***

No. 6
An optimized crystal structure of Ni2MoPd2. Source: Alexandria, functional PBE-GGA.

Its total DFT energy (no corrections) is -6.555 eV per atom. As for the formation energy: 0.00 eV/atom.

It has space group C2/m (No. 12), with a = 9.090 Å, b = 2.700 Å, c = 6.570 Å, α = 90.00°, β = 122.25° and γ = 90.00°. The asymmetric unit holds Ni at (0.108, 0.000, 0.396), Mo at (0.000, 0.500, 0.000) and Pd at (0.186, 0.500, 0.783).

***

No. 7
An optimized crystal structure of NiMoPd3. Source: Alexandria, functional PBE-GGA.

Its total DFT energy (no corrections) is -6.267 eV per atom. As for the formation energy: 0.17 eV/atom.

It has space group Pnma (No. 62), with a = 7.655 Å, b = 8.299 Å, c = 4.922 Å, α = 90.00°, β = 90.00° and γ = 90.00°. The asymmetric unit holds Ni at (0.084, 0.250, 0.231), Mo at (0.000, 0.000, 0.000), Pd at (0.111, 0.250, 0.720) and Pd at (0.161, 0.566, 0.510).

***

No. 8
An optimized crystal structure of NiMo2Pd. Source: Alexandria, functional PBE-GGA.

Its total DFT energy (no corrections) is -7.958 eV per atom. As for the formation energy: 0.20 eV/atom.

It has space group F-43m (No. 216), with a = 6.168 Å, b = 6.168 Å, c = 6.168 Å, α = 90.00°, β = 90.00° and γ = 90.00°. The asymmetric unit holds Ni at (0.000, 0.000, 0.000), Mo at (0.000, 0.000, 0.500), Mo at (0.250, 0.250, 0.750) and Pd at (0.250, 0.250, 0.250).

***

No. 9
An optimized crystal structure of Ni2Mo2Pd. Source: Alexandria, functional PBE-GGA.

Its total DFT energy (no corrections) is -7.481 eV per atom. As for the formation energy: 0.20 eV/atom.

It has space group P4/mbm (No. 127), with a = 7.387 Å, b = 7.387 Å, c = 2.635 Å, α = 90.00°, β = 90.00° and γ = 90.00°. The asymmetric unit holds Ni at (0.168, 0.332, 0.000), Mo at (0.127, 0.627, 0.500) and Pd at (0.000, 0.000, 0.500).

***

No. 10
An optimized crystal structure of NiMo2Pd8. Source: Alexandria, functional PBE-GGA.

Its total DFT energy (no corrections) is -6.314 eV per atom. As for the formation energy: -0.04 eV/atom.

It has space group C2/m (No. 12), with a = 14.187 Å, b = 3.906 Å, c = 6.178 Å, α = 90.00°, β = 104.75° and γ = 90.00°. The asymmetric unit holds Ni at (0.000, 0.000, 0.000), Mo at (0.228, 0.500, 0.628), Pd at (0.046, 0.500, 0.734), Pd at (0.093, 0.000, 0.451), Pd at (0.138, 0.500, 0.185) and Pd at (0.181, 0.000, 0.913).

***

No. 11
An optimized crystal structure of NiMo2Pd. Source: Alexandria, functional PBE-GGA.

Its total DFT energy (no corrections) is -7.737 eV per atom. As for the formation energy: 0.42 eV/atom.

It has space group Fm-3m (No. 225), with a = 6.182 Å, b = 6.182 Å, c = 6.182 Å, α = 90.00°, β = 90.00° and γ = 90.00°. The asymmetric unit holds Ni at (0.000, 0.000, 0.000), Mo at (0.250, 0.250, 0.250) and Pd at (0.000, 0.000, 0.500).

***

No. 12
An optimized crystal structure of Ni2MoPd6. Source: Alexandria, functional PBE-GGA.

Its total DFT energy (no corrections) is -5.883 eV per atom. As for the formation energy: 0.07 eV/atom.

It has space group C2/c (No. 15), with a = 12.403 Å, b = 9.180 Å, c = 4.711 Å, α = 90.00°, β = 99.49° and γ = 90.00°. The asymmetric unit holds Ni at (0.167, 0.124, 0.086), Mo at (0.000, 0.364, 0.250), Pd at (0.055, 0.125, 0.527), Pd at (0.111, 0.380, 0.802) and Pd at (0.225, 0.373, 0.349).

***

Number 1: density of states at the Fermi level 11.71 states/eV/cell. Number 2: density of states at the Fermi level 4.33 states/eV/cell. Number 3: density of states at the Fermi level 15.51 states/eV/cell. Number 4: density of states at the Fermi level 34.93 states/eV/cell. Number 5: density of states at the Fermi level 40.62 states/eV/cell. Number 6: density of states at the Fermi level 12.90 states/eV/cell. Number 7: density of states at the Fermi level 16.57 states/eV/cell. Number 8: density of states at the Fermi level 12.66 states/eV/cell. Number 9: density of states at the Fermi level 8.09 states/eV/cell. Number 10: density of states at the Fermi level 27.27 states/eV/cell. Number 11: density of states at the Fermi level 34.35 states/eV/cell. Number 12: density of states at the Fermi level 48.17 states/eV/cell.